# MnAgH2F8 PBE with a Hubbard U relaxed
# - E (eV/f.u.) = -51.8
# - volume (Å³/atom) = 12.773
# - calculated density (Mg/m³) = 3.432
# - D(E_F) (states/eV per atom) = 0.0573
data_MnAgH2F8
_chemical_formula_sum 'Mn1 Ag1 H2 F8'
_cell_length_a 4.835
_cell_length_b 4.971
_cell_length_c 6.763
_cell_angle_alpha 103.69
_cell_angle_beta 91.09
_cell_angle_gamma 103.21
_symmetry_space_group_name_H-M 'P 1'
_symmetry_Int_Tables_number 1
loop_
_symmetry_equiv_pos_as_xyz
'x,y,z'
loop_
_atom_site_label
_atom_site_type_symbol
_atom_site_fract_x
_atom_site_fract_y
_atom_site_fract_z
Mn1 Mn 0.000 0.000 0.000
Ag1 Ag 0.000 0.000 0.500
H1 H 0.249 0.527 0.319
H2 H 0.751 0.473 0.681
F1 F 0.203 0.146 0.796
F2 F 0.224 0.758 0.994
F3 F 0.242 0.265 0.215
F4 F 0.281 0.710 0.437
F5 F 0.719 0.290 0.563
F6 F 0.758 0.735 0.785
F7 F 0.776 0.242 0.006
F8 F 0.797 0.854 0.204